Density functional theory data (PBE-GGA) for crystalline CuPbO2F at its relaxed geometry.

magnetization: 0.0 Bohr magnetons per cell
E_tot: -24.3 eV/cell

Cell lengths 3.8810, 3.8810, 4.0761 Å; angles 90.00, 90.00, 90.00 degrees
Last column: nearest neighbours and their distance in Å.
Element x y z (fractional)
Cu 0.0000 0.0000 0.0000  4 O 1.94, 2 F 2.04
Pb 0.5000 0.5000 0.5000  4 F 2.74, 8 O 2.81
O 0.0000 0.5000 0.0000  2 Cu 1.94
O 0.5000 0.0000 0.0000  2 Cu 1.94
F 0.0000 0.0000 0.5000  2 Cu 2.04